Entry from OQMD: an optimized crystal structure of NaTbFeSe3 (GGA-PBE).

Properties
energy relative to the lowest polymorph listed for this composition	25	meV per atom

Cell lengths 10.8181, 4.0640, 13.4252 Å; angles 90.00, 90.00, 90.00 degrees
With the nearest neighbours (Å) after each atom.
Space group Pnma (No. 62)
Asymmetric unit:
1 Na 0.2163 0.2500 0.0034 (multiplicity 4)  7 Se 3.12-3.32
2 Tb 0.0158 0.7500 0.7405 (multiplicity 4)  6 Se 2.86-2.92
3 Fe 0.2345 0.7500 0.2210 (multiplicity 4)  4 Se 2.41-2.50
4 Se 0.0509 0.7500 0.1182 (multiplicity 4)  1 Fe 2.42
5 Se 0.0952 0.2500 0.6051 (multiplicity 4)  1 Fe 2.41
6 Se 0.2380 0.2500 0.3289 (multiplicity 4)  2 Fe 2.50


Entry from OQMD: an optimized crystal structure of Lu4Hf2C3S3 (GGA-PBE).

Properties
uncorrected energy	-376.1	eV/cell

Cell lengths 10.5493, 6.0978, 12.8477 Å; angles 90.00, 105.93, 90.00 degrees
With the nearest neighbours (Å) after each atom.
Space group C2/c (No. 15)
Asymmetric unit:
1 Lu 0.1188 0.0800 0.1057 (multiplicity 8)  3 C 2.42-2.48
2 Lu 0.2129 0.0857 0.3942 (multiplicity 8)  3 C 2.43-2.48
3 Hf 0.0533 0.4151 0.9044 (multiplicity 8)  3 C 2.27-2.33
4 C 0.0779 0.2663 0.5000 (multiplicity 8)  2 Hf 2.27-2.28, 4 Lu 2.43-2.48
5 C 0.2500 0.2500 0.0000 (multiplicity 4)  2 Hf 2.33, 4 Lu 2.42-2.43
6 S 0.0000 0.0960 0.7500 (multiplicity 4)  4 Lu 2.72-2.73, 2 Hf 2.72
7 S 0.1602 0.4237 0.2494 (multiplicity 8)  4 Lu 2.73-2.75, 2 Hf 2.73-2.74


Repeat the first record exactly.
Entry from OQMD: an optimized crystal structure of NaTbFeSe3 (GGA-PBE).

Properties
energy relative to the lowest polymorph listed for this composition	25	meV per atom

Cell lengths 10.8181, 4.0640, 13.4252 Å; angles 90.00, 90.00, 90.00 degrees
With the nearest neighbours (Å) after each atom.
Space group Pnma (No. 62)
Asymmetric unit:
1 Na 0.2163 0.2500 0.0034 (multiplicity 4)  7 Se 3.12-3.32
2 Tb 0.0158 0.7500 0.7405 (multiplicity 4)  6 Se 2.86-2.92
3 Fe 0.2345 0.7500 0.2210 (multiplicity 4)  4 Se 2.41-2.50
4 Se 0.0509 0.7500 0.1182 (multiplicity 4)  1 Fe 2.42
5 Se 0.0952 0.2500 0.6051 (multiplicity 4)  1 Fe 2.41
6 Se 0.2380 0.2500 0.3289 (multiplicity 4)  2 Fe 2.50